VASP calculation (PBE) on a relaxed structure of CeZnSi.

Summary:
**ΔE_f (raw)**: -0.538 eV/atom
**Final energy**: -4.749 eV/atom

a = 4.163 Å, b = 4.163 Å, c = 4.171 Å
α = 90.00°, β = 90.00°, γ = 120.00°
Last column: magnetic moment on the atom in μB.
Atoms (fractional coordinates):
Zn  0.667  0.333  0.500  0.01
Si  0.000  0.000  0.500  -0.01
Ce  0.333  0.667  0.000  0.62